Density functional theory data (PBE) for a geometry-optimized K2MnP2 structure.

Unit cell a=6.2758 b=6.2758 c=5.4910 alpha=90.00 beta=90.00 gamma=90.00
With the nearest neighbours (Å) after each atom.
Sites, in units of the cell vectors:
K  0.1727  0.3273  0.0000  5 K 3.06-3.28, 6 P 3.24-3.36
K  0.3273  0.8273  0.0000  5 K 3.06-3.28, 6 P 3.24-3.36
K  0.6727  0.1727  0.0000  5 K 3.06-3.28, 6 P 3.24-3.36
K  0.8273  0.6727  0.0000  5 K 3.06-3.28, 6 P 3.24-3.36
Mn  0.0000  0.0000  0.5000  4 P 2.45
Mn  0.5000  0.5000  0.5000  4 P 2.45
P  0.1327  0.6327  0.5000  1 P 2.36, 2 Mn 2.45
P  0.3673  0.1327  0.5000  1 P 2.36, 2 Mn 2.45
P  0.6327  0.8673  0.5000  1 P 2.36, 2 Mn 2.45
P  0.8673  0.3673  0.5000  1 P 2.36, 2 Mn 2.45

DOS(E_F) ... 3.446 states/eV/f.u.
Formation energy ... -0.117 eV per atom
Space-group type ... P4/mbm (127)

Density functional theory data (PBE) for a geometry-optimized KMnP structure.

Unit cell a=4.8772 b=4.8772 c=4.8772 alpha=60.00 beta=60.00 gamma=60.00
With the nearest neighbours (Å) after each atom.
Sites, in units of the cell vectors:
K  0.0000  0.0000  0.0000  4 Mn 2.99, 4 P 2.99
Mn  0.2500  0.2500  0.2500  4 K 2.99
P  0.7500  0.7500  0.7500  4 K 2.99

DOS(E_F) ... 0.878 states/eV/f.u.
Formation energy ... 1.144 eV per atom
Space-group type ... F-43m (216)